Entry 1:
Below is an optimized crystal structure of In2AgTe4, with properties calculated at the PBE level.

Calculated values
- Raw formation energy: -4.89 kcal/mol of atoms
- Energy: -3.20 eV per atom

Cell lengths 6.097, 6.097, 6.742 Å; angles 90.00, 90.00, 90.00 degrees
Positions (direct):
In 0.500 0.000 0.500
In 0.000 0.500 0.500
Ag 0.000 0.000 0.000
Te 0.728 0.272 0.771
Te 0.272 0.272 0.229
Te 0.272 0.728 0.771
Te 0.728 0.728 0.229

Entry 2:
Below is an optimized crystal structure of In3AgTe, with properties calculated at the PBE level.

Calculated values
- Offset from the most stable computed form: 0 meV/atom
- Raw formation energy: 1.07 kcal/mol of atoms
- Energy: -2.80 eV per atom

Cell lengths 5.349, 5.349, 5.349 Å; angles 90.00, 90.00, 90.00 degrees
Positions (direct):
Te 0.500 0.500 0.500
Ag 0.000 0.000 0.000
In 0.000 0.500 0.000
In 0.000 0.000 0.500
In 0.500 0.000 0.000

Entry 3:
Below is an optimized crystal structure of In3AgTe4, with properties calculated at the PBE level.

Calculated values
- Offset from the most stable computed form: 0 meV/atom
- Raw formation energy: -5.16 kcal/mol of atoms
- Energy: -3.18 eV per atom

Cell lengths 4.578, 4.578, 14.902 Å; angles 90.00, 90.00, 90.00 degrees
Positions (direct):
Te 0.000 0.500 0.663
Te 0.500 0.000 0.337
Te 0.000 0.500 0.107
Te 0.500 0.000 0.893
Ag 0.000 0.000 0.000
In 0.500 0.500 0.777
In 0.000 0.000 0.500
In 0.500 0.500 0.223

Entry 4:
Below is an optimized crystal structure of In2AgTe, with properties calculated at the PBE level.

Calculated values
- Raw formation energy: 0.29 kcal/mol of atoms
- Energy: -2.85 eV per atom

Cell lengths 3.200, 3.930, 8.162 Å; angles 90.00, 90.00, 90.00 degrees
Positions (direct):
Te 0.500 0.500 0.250
Ag 0.500 0.500 0.750
In 0.000 0.000 0.967
In 0.000 0.000 0.533

Entry 5:
Below is an optimized crystal structure of In2AgTe, with properties calculated at the PBE level.

Calculated values
- Raw formation energy: -0.36 kcal/mol of atoms
- Energy: -2.88 eV per atom

Cell lengths 4.281, 3.205, 7.769 Å; angles 89.96, 90.00, 90.00 degrees
Positions (direct):
Te 0.000 0.502 0.526
Ag 0.500 0.500 0.781
In 0.000 0.999 0.965
In 0.500 0.499 0.228

Entry 6:
Below is an optimized crystal structure of In2AgTe3, with properties calculated at the PBE level.

Calculated values
- Offset from the most stable computed form: 32 meV/atom
- Raw formation energy: -4.45 kcal/mol of atoms
- Energy: -3.15 eV per atom

Cell lengths 4.329, 9.237, 11.556 Å; angles 103.32, 100.80, 90.00 degrees
Positions (direct):
In 0.274 0.623 0.549
In 0.726 0.377 0.451
In 0.948 0.807 0.897
In 0.052 0.193 0.103
Ag 0.338 0.043 0.675
Ag 0.662 0.957 0.325
Te 0.236 0.165 0.472
Te 0.078 0.907 0.157
Te 0.405 0.611 0.809
Te 0.764 0.835 0.528
Te 0.595 0.389 0.191
Te 0.922 0.093 0.843

Entry 7:
Below is an optimized crystal structure of In2AgTe, with properties calculated at the PBE level.

Calculated values
- Raw formation energy: 0.59 kcal/mol of atoms
- Energy: -2.84 eV per atom

Cell lengths 7.002, 7.002, 7.691 Å; angles 62.92, 62.92, 90.00 degrees
Positions (direct):
Te 0.000 0.000 0.000
Te 0.750 0.250 0.500
Ag 0.500 0.500 0.000
Ag 0.250 0.750 0.500
In 0.598 0.125 0.250
In 0.152 0.625 0.250
In 0.375 0.402 0.750
In 0.875 0.848 0.750

Entry 8:
Below is an optimized crystal structure of In3AgTe4, with properties calculated at the PBE level.

Calculated values
- Offset from the most stable computed form: 30 meV/atom
- Raw formation energy: -4.47 kcal/mol of atoms
- Energy: -3.15 eV per atom

Cell lengths 6.773, 6.773, 8.316 Å; angles 114.03, 114.03, 90.00 degrees
Positions (direct):
In 0.500 0.500 0.000
In 0.750 0.250 0.500
In 0.250 0.750 0.500
Ag 0.000 0.000 0.000
Te 0.365 0.365 0.247
Te 0.883 0.883 0.247
Te 0.117 0.635 0.753
Te 0.635 0.117 0.753

Entry 9:
Below is an optimized crystal structure of In2AgTe2, with properties calculated at the PBE level.

Calculated values
- Offset from the most stable computed form: 36 meV/atom
- Raw formation energy: 0.20 kcal/mol of atoms
- Energy: -2.91 eV per atom

Cell lengths 5.861, 5.861, 6.028 Å; angles 60.91, 60.91, 90.00 degrees
Positions (direct):
Te 0.750 0.250 0.500
Te 0.250 0.750 0.500
Ag 0.000 0.000 0.000
In 0.337 0.337 0.326
In 0.663 0.663 0.674

Entry 10:
Below is an optimized crystal structure of In2AgTe2, with properties calculated at the PBE level.

Calculated values
- Offset from the most stable computed form: 87 meV/atom
- Raw formation energy: 1.37 kcal/mol of atoms
- Energy: -2.86 eV per atom

Cell lengths 8.160, 8.160, 4.188 Å; angles 90.00, 90.00, 90.00 degrees
Positions (direct):
Te 0.163 0.663 0.500
Te 0.663 0.837 0.500
Te 0.837 0.337 0.500
Te 0.337 0.163 0.500
Ag 0.000 0.000 0.000
Ag 0.500 0.500 0.000
In 0.354 0.854 0.000
In 0.854 0.646 0.000
In 0.646 0.146 0.000
In 0.146 0.354 0.000

Entry 11:
Below is an optimized crystal structure of In5AgTe8, with properties calculated at the PBE level.

Calculated values
- Offset from the most stable computed form: 4 meV/atom
- Raw formation energy: -7.12 kcal/mol of atoms
- Energy: -3.29 eV per atom

Cell lengths 6.324, 6.324, 12.817 Å; angles 90.00, 90.00, 90.00 degrees
Positions (direct):
In 0.000 0.500 0.256
In 0.000 0.500 0.744
In 0.500 0.000 0.744
In 0.500 0.500 0.000
In 0.500 0.000 0.256
Ag 0.000 0.000 0.500
Te 0.729 0.271 0.388
Te 0.224 0.776 0.887
Te 0.776 0.224 0.887
Te 0.776 0.776 0.113
Te 0.271 0.729 0.388
Te 0.224 0.224 0.113
Te 0.729 0.729 0.612
Te 0.271 0.271 0.612

Entry 12:
Below is an optimized crystal structure of In2AgTe3, with properties calculated at the PBE level.

Calculated values
- Offset from the most stable computed form: 0 meV/atom
- Raw formation energy: -5.19 kcal/mol of atoms
- Energy: -3.18 eV per atom

Cell lengths 5.113, 6.266, 7.963 Å; angles 113.17, 108.72, 90.00 degrees
Positions (direct):
In 0.837 0.574 0.674
In 0.163 0.900 0.326
Ag 0.500 0.224 0.000
Te 0.000 0.029 0.000
Te 0.336 0.344 0.673
Te 0.664 0.672 0.327

Q: Look up the raw formation energy of the seventh one.
A: 0.59 kcal/mol of atoms

Q: The highest raw formation energy belongs to which entry?
A: number 10

Please write out number 8 again, unchanged.
Below is an optimized crystal structure of In3AgTe4, with properties calculated at the PBE level.

Calculated values
- Offset from the most stable computed form: 30 meV/atom
- Raw formation energy: -4.47 kcal/mol of atoms
- Energy: -3.15 eV per atom

Cell lengths 6.773, 6.773, 8.316 Å; angles 114.03, 114.03, 90.00 degrees
Positions (direct):
In 0.500 0.500 0.000
In 0.750 0.250 0.500
In 0.250 0.750 0.500
Ag 0.000 0.000 0.000
Te 0.365 0.365 0.247
Te 0.883 0.883 0.247
Te 0.117 0.635 0.753
Te 0.635 0.117 0.753

Q: Which value of energy does entry 10 give?
A: -2.86 eV per atom